No. 1
Ac2VBrO6 | PBE with a Hubbard U | optimized geometry

abc: 5.8503 5.8503 5.4159
angles: 90.00 90.00 90.00
Last column: nearest neighbours and their distance in Å.
Sites, in units of the cell vectors:
Ac  0.0000  0.5000  0.0000  4 O 2.42
Ac  0.5000  0.0000  0.0000  4 O 2.42
V  0.0000  0.0000  0.6592  5 O 1.73-1.87
Br  0.5000  0.5000  0.4102  1 O 1.86
O  0.0000  0.0000  0.3396  1 V 1.73
O  0.2129  0.2129  0.7766  1 V 1.87
O  0.2129  0.7871  0.7766  1 V 1.87
O  0.5000  0.5000  0.0672  1 Br 1.86
O  0.7871  0.2129  0.7766  1 V 1.87
O  0.7871  0.7871  0.7766  1 V 1.87

Computed properties:
SG = P4mm (99)
Final energy = -6.99 eV/atom

=====

No. 2
La2CrSe2O2 | PBE with a Hubbard U | optimized geometry

abc: 6.1678 6.1678 7.1210
angles: 119.27 119.27 37.51
Last column: nearest neighbours and their distance in Å.
Sites, in units of the cell vectors:
La  0.1919  0.1919  0.2437  3 O 2.33-2.39
La  0.8081  0.8081  0.7563  3 O 2.33-2.39
Cr  0.0000  0.0000  0.5000  2 O 2.08
Se  0.4452  0.4452  0.1953  2 Cr 2.76
Se  0.5548  0.5548  0.8047  2 Cr 2.76
O  0.1997  0.1997  0.5859  1 Cr 2.08, 2 La 2.33
O  0.8003  0.8003  0.4141  1 Cr 2.08, 2 La 2.33

Computed properties:
SG = C2/m (12)
Final energy = -7.07 eV/atom